(1)
CePuHgPt: optimized geometry, PBE.

Its energy relative to the elements is -0.483 eV/atom. The value obtained for the energy relative to the lowest polymorph listed for this composition is 75 meV per atom. As for the crystal system: cubic. The calculation puts the magnetic moment at 6.67 Bohr magnetons per cell. The value obtained for the volume is 24.534 A^3/atom. Its symmetry is F-43m (216).

abc: 5.1774 5.1774 5.1774
angles: 60.00 60.00 60.00
Last column: magnetic moment on the atom in μB.
Fractional coordinates of all 4 atoms:
Hg  0.2500  0.2500  0.2500  0.03
Pt  0.7500  0.7500  0.7500  -0.06
Ce  0.5000  0.5000  0.5000  0.81
Pu  0.0000  0.0000  0.0000  5.40

***

(2)
BaSc2Rh: optimized geometry, PBE.

Its energy relative to the elements is 0.249 eV/atom. As for the crystal system: tetragonal. The calculation puts the magnetic moment at 0.00 Bohr magnetons per cell. The value obtained for the volume is 23.825 A^3/atom. Its symmetry is I-4m2 (119).

abc: 5.9417 5.9417 5.9417
angles: 137.31 137.31 61.96
Fractional coordinates of all 4 atoms:
Ba  0.5000  0.5000  0.0000
Sc  0.0000  0.0000  0.0000
Rh  0.7500  0.2500  0.5000
Sc  0.2500  0.7500  0.5000

***

(3)
MgFeSb2Te: optimized geometry, PBE.

The value obtained for the energy relative to the lowest polymorph listed for this composition is 1018 meV per atom. As for the crystal system: tetragonal. The calculation puts the magnetic moment at 0.01 Bohr magnetons per cell. The value obtained for the uncorrected formation energy is 1.28 eV per atom. The value obtained for the volume is 29.893 A^3/atom. Its symmetry is P4/mmm (123).

abc: 5.2916 5.2916 5.3378
angles: 90.00 90.00 90.00
Last column: magnetic moment on the atom in μB.
Fractional coordinates of all 5 atoms:
Sb  0.0000  0.5000  0.0000  -0.01
Fe  0.5000  0.5000  0.5000  0.07
Te  0.0000  0.0000  0.5000  -0.01
Mg  0.0000  0.0000  0.0000  0.00
Sb  0.5000  0.0000  0.0000  -0.01

***

(4)
CrTeP2S: optimized geometry, PBE.

The value obtained for the energy relative to the lowest polymorph listed for this composition is 1378 meV per atom. As for the crystal system: tetragonal. The calculation puts the magnetic moment at 0.03 Bohr magnetons per cell. The value obtained for the uncorrected formation energy is 1.72 eV per atom. The value obtained for the volume is 24.586 A^3/atom. Its symmetry is P4/mmm (123).

abc: 4.9992 4.9992 4.9190
angles: 90.00 90.00 90.00
Last column: magnetic moment on the atom in μB.
Fractional coordinates of all 5 atoms:
P  0.0000  0.5000  0.0000  -0.04
P  0.5000  0.0000  0.0000  -0.04
Te  0.0000  0.0000  0.0000  -0.04
Cr  0.5000  0.5000  0.5000  0.28
S  0.0000  0.0000  0.5000  -0.04

***

(5)
KAcBr2: optimized geometry, PBE.

As for the crystal system: trigonal. The calculation puts the magnetic moment at 0.00 Bohr magnetons per cell. The value obtained for the uncorrected formation energy is -1.28 eV per atom. The value obtained for the volume is 40.012 A^3/atom. Its symmetry is R-3m (166).

abc: 4.0896 4.0896 11.2993
angles: 79.57 79.57 60.00
Fractional coordinates of all 4 atoms:
Ac  0.5000  0.5000  0.5000
Br  0.9013  0.9013  0.2960
K  0.0000  0.0000  0.0000
Br  0.0987  0.0987  0.7040

***

(6)
Cs2PdPt2: optimized geometry, PBE.

Its energy relative to the elements is -0.153 eV/atom. The value obtained for the energy relative to the lowest polymorph listed for this composition is 0 meV per atom. As for the crystal system: trigonal. The calculation puts the magnetic moment at 0.00 Bohr magnetons per cell. The value obtained for the volume is 40.571 A^3/atom. Its symmetry is R-3m (166).

abc: 4.6169 4.6169 11.3076
angles: 78.22 78.22 60.00
Fractional coordinates of all 5 atoms:
Cs  0.4215  0.4215  0.7355
Cs  0.5785  0.5785  0.2645
Pt  0.6729  0.6729  0.9813
Pt  0.3271  0.3271  0.0187
Pd  0.0000  0.0000  0.0000

***

(7)
Cd2BO4: optimized geometry, PBE.

The value obtained for the energy relative to the lowest polymorph listed for this composition is 0 meV per atom. As for the crystal system: cubic. The calculation puts the magnetic moment at 0.00 Bohr magnetons per cell. The value obtained for the uncorrected formation energy is -1.46 eV per atom. The value obtained for the volume is 12.630 A^3/atom. Its symmetry is Fd-3 (203).

abc: 10.0009 10.0009 10.0009
angles: 60.00 60.00 60.00
Fractional coordinates of all 56 atoms:
O  0.5322  0.2549  0.8100
Cd  0.0455  0.4545  0.4545
O  0.4400  0.9951  0.8471
O  0.2549  0.5322  0.4029
O  0.0940  0.7179  0.0940
O  0.1560  0.1560  0.1560
O  0.8100  0.4029  0.5322
B  0.3975  0.3975  0.8076
Cd  0.6250  0.6250  0.6250
O  0.0940  0.0940  0.7179
Cd  0.2045  0.7955  0.7955
Cd  0.0455  0.0455  0.4545
O  0.8100  0.5322  0.2549
O  0.9951  0.8471  0.4400
O  0.8471  0.9951  0.7178
Cd  0.4545  0.0455  0.4545
B  0.8525  0.8525  0.8525
O  0.2549  0.4029  0.8100
B  0.8525  0.8525  0.4424
Cd  0.4545  0.4545  0.0455
O  0.4029  0.2549  0.5322
B  0.8525  0.4424  0.8525
Cd  0.6250  0.1250  0.6250
O  0.5322  0.8100  0.4029
O  0.1560  0.5321  0.1560
O  0.7178  0.4400  0.8471
O  0.9951  0.4400  0.7178
O  0.1560  0.1560  0.5321
O  0.8471  0.7178  0.4400
Cd  0.7955  0.2045  0.7955
Cd  0.6250  0.6250  0.1250
O  0.4400  0.7178  0.9951
Cd  0.7955  0.7955  0.2045
Cd  0.1250  0.6250  0.6250
B  0.4424  0.8525  0.8525
B  0.8076  0.3975  0.3975
Cd  0.7955  0.2045  0.2045
O  0.4029  0.8100  0.2549
Cd  0.2045  0.2045  0.7955
O  0.5321  0.1560  0.1560
Cd  0.2045  0.7955  0.2045
O  0.4400  0.8471  0.7178
O  0.2549  0.8100  0.5322
O  0.4029  0.5322  0.8100
B  0.3975  0.3975  0.3975
Cd  0.0455  0.4545  0.0455
Cd  0.4545  0.0455  0.0455
B  0.3975  0.8076  0.3975
O  0.7178  0.8471  0.9951
O  0.7178  0.9951  0.4400
O  0.7179  0.0940  0.0940
O  0.8100  0.2549  0.4029
O  0.9951  0.7178  0.8471
O  0.8471  0.4400  0.9951
O  0.5322  0.4029  0.2549
O  0.0940  0.0940  0.0940

***

(8)
RbY2NO: optimized geometry, PBE.

The value obtained for the energy relative to the lowest polymorph listed for this composition is 0 meV per atom. As for the crystal system: tetragonal. The calculation puts the magnetic moment at 0.00 Bohr magnetons per cell. The value obtained for the uncorrected formation energy is -0.43 eV per atom. The value obtained for the volume is 24.590 A^3/atom. Its symmetry is P4/mmm (123).

abc: 4.5804 5.8604 4.5804
angles: 90.00 90.00 90.00
Fractional coordinates of all 5 atoms:
O  0.5000  0.5000  0.5000
Y  0.0000  0.0000  0.5000
Y  0.5000  0.0000  0.0000
Rb  0.0000  0.5000  0.0000
N  0.0000  0.0000  0.0000

***

(9)
TlCN2: optimized geometry, PBE.

The value obtained for the energy relative to the lowest polymorph listed for this composition is 2752 meV per atom. As for the crystal system: cubic. The calculation puts the magnetic moment at 1.01 Bohr magnetons per cell. The value obtained for the uncorrected formation energy is 3.10 eV per atom. The value obtained for the volume is 11.425 A^3/atom. Its symmetry is Fm-3m (225).

abc: 4.0131 4.0131 4.0131
angles: 60.00 60.00 60.00
Last column: magnetic moment on the atom in μB.
Fractional coordinates of all 4 atoms:
C  0.0000  0.0000  0.0000  -0.16
N  0.2500  0.2500  0.2500  0.49
Tl  0.5000  0.5000  0.5000  -0.02
N  0.7500  0.7500  0.7500  0.49

***

(10)
Li3DyP2: optimized geometry, PBE.

Its energy relative to the elements is -0.906 eV/atom. As for the crystal system: monoclinic. The calculation puts the magnetic moment at 0.00 Bohr magnetons per cell. The value obtained for the volume is 16.433 A^3/atom. Its symmetry is C2/m (12).

abc: 3.8969 8.1234 9.8093
angles: 100.80 90.00 103.88
Fractional coordinates of all 18 atoms:
Li  0.0500  0.1000  0.3400
P  0.6424  0.2848  0.4970
Li  0.9500  0.9000  0.6600
Li  0.6230  0.2461  0.2335
Li  0.7903  0.5806  0.5909
P  0.1948  0.3897  0.1516
P  0.5447  0.0894  0.8114
Li  0.6825  0.3650  0.9912
Li  0.2097  0.4194  0.4091
P  0.4553  0.9106  0.1886
Li  0.3770  0.7539  0.7665
Dy  0.0000  0.0000  0.0000
Dy  0.1646  0.3293  0.7190
P  0.3576  0.7152  0.5030
Li  0.5000  0.0000  0.5000
Li  0.3175  0.6350  0.0088
Dy  0.8354  0.6707  0.2810
P  0.8052  0.6103  0.8484

***

(11)
KSO3: optimized geometry, PBE.

As for the crystal system: cubic. The calculation puts the magnetic moment at 0.00 Bohr magnetons per cell. The value obtained for the uncorrected formation energy is -0.46 eV per atom. The value obtained for the volume is 10.367 A^3/atom. Its symmetry is Pm-3m (221).

abc: 3.7286 3.7286 3.7286
angles: 90.00 90.00 90.00
Fractional coordinates of all 5 atoms:
O  0.0000  0.5000  0.0000
O  0.5000  0.0000  0.0000
K  0.5000  0.5000  0.5000
S  0.0000  0.0000  0.0000
O  0.0000  0.0000  0.5000

***

(12)
Sm2Zn15Cd2: optimized geometry, PBE.

Its energy relative to the elements is -0.229 eV/atom. As for the crystal system: trigonal. The calculation puts the magnetic moment at 0.00 Bohr magnetons per cell. The value obtained for the volume is 17.039 A^3/atom. Its symmetry is R-3m (166).

abc: 6.9165 6.9165 6.9165
angles: 82.85 82.85 82.85
Fractional coordinates of all 19 atoms:
Zn  0.6998  0.3002  0.0000
Cd  0.1050  0.1050  0.1050
Zn  0.0000  0.5000  0.0000
Zn  0.6464  0.1665  0.6464
Zn  0.0000  0.6998  0.3002
Zn  0.8335  0.3536  0.3536
Zn  0.3536  0.3536  0.8335
Zn  0.6464  0.6464  0.1665
Cd  0.8950  0.8950  0.8950
Zn  0.0000  0.0000  0.5000
Zn  0.3002  0.0000  0.6998
Zn  0.3002  0.6998  0.0000
Sm  0.3415  0.3415  0.3415
Zn  0.6998  0.0000  0.3002
Sm  0.6585  0.6585  0.6585
Zn  0.1665  0.6464  0.6464
Zn  0.0000  0.3002  0.6998
Zn  0.3536  0.8335  0.3536
Zn  0.5000  0.0000  0.0000

***

Q: magnetic moment of number 9 (TlCN2)?
A: 1.01 Bohr magnetons per cell

***

Q: Among the records above, which one has the highest magnetic moment?
A: CePuHgPt

***

Q: Which formula does entry 5 have?
A: KAcBr2